[1]
A plane-wave DFT calculation with PBE-GGA was carried out for a geometry-optimized Ag2SbAsO6 structure.

abc: 5.3057 5.0978 5.0978
angles: 90.00 90.00 90.00
Last column: nearest neighbours and their distance in Å.
Element x y z (fractional)
Ag: 0.0586 0.5000 0.0000  8 O 2.65-2.74
Ag: 0.0586 0.0000 0.5000  8 O 2.65-2.74
Sb: 0.5548 0.5000 0.5000  5 O 1.90-2.00
As: 0.5700 0.0000 0.0000  5 O 1.71-1.85
O: 0.6899 0.2411 0.2411  1 As 1.85, 1 Sb 2.00
O: 0.6899 0.2411 0.7589  1 As 1.85, 1 Sb 2.00
O: 0.1970 0.5000 0.5000  1 Sb 1.90
O: 0.2483 0.0000 0.0000  1 As 1.71
O: 0.6899 0.7589 0.7589  1 As 1.85, 1 Sb 2.00
O: 0.6899 0.7589 0.2411  1 As 1.85, 1 Sb 2.00

Properties
Its total energy is -5.12 eV/atom. The density of states at the Fermi level comes out at 0.250 states/eV per atom.

***

[2]
A plane-wave DFT calculation with PBE-GGA was carried out for a geometry-optimized Ho7Tl2Sn2 structure.

abc: 6.8705 7.6316 6.8705
angles: 90.02 108.60 89.98
Last column: nearest neighbours and their distance in Å.
Element x y z (fractional)
Ho: 0.9998 0.2901 0.5004  2 Tl 3.02, 1 Ho 3.20, 2 Sn 3.26-3.27
Ho: 0.5004 0.7099 0.9998  2 Tl 3.02, 1 Ho 3.20, 2 Sn 3.26-3.27
Ho: 0.0002 0.7099 0.4996  2 Tl 3.02, 1 Ho 3.20, 2 Sn 3.26-3.27
Ho: 0.4996 0.2901 0.0002  2 Tl 3.02, 1 Ho 3.20, 2 Sn 3.26-3.27
Ho: 0.0000 0.0000 0.0000  2 Tl 3.23
Ho: 0.5002 0.7397 0.4998  2 Tl 3.07-3.08, 2 Sn 3.15, 4 Ho 3.44
Ho: 0.4998 0.2603 0.5002  2 Tl 3.07-3.08, 2 Sn 3.15, 4 Ho 3.44
Tl: 0.7105 0.0000 0.2895  7 Ho 3.02-3.23
Tl: 0.2895 0.0000 0.7105  7 Ho 3.02-3.23
Sn: 0.8193 0.5000 0.8193  1 Sn 2.90, 2 Ho 3.15
Sn: 0.1807 0.5000 0.1807  1 Sn 2.90, 2 Ho 3.15

Properties
The density of states at the Fermi level comes out at 0.873 states/eV per atom. The calculation puts the formation energy at -1.22 eV per formula unit.

***

[3]
A plane-wave DFT calculation with PBE-GGA was carried out for a geometry-optimized Pm5YIn4 structure.

abc: 3.6098 3.6098 22.7018
angles: 90.00 90.00 90.00
Last column: nearest neighbours and their distance in Å.
Element x y z (fractional)
Pm: 0.5000 0.5000 0.1164  4 In 3.34, 4 Pm 3.61, 4 Y 3.67
Pm: 0.5000 0.5000 0.3076  8 In 3.36, 4 Pm 3.61
Pm: 0.5000 0.5000 0.5000  8 In 3.36, 4 Pm 3.61
Pm: 0.5000 0.5000 0.6924  8 In 3.36, 4 Pm 3.61
Pm: 0.5000 0.5000 0.8836  4 In 3.34, 4 Pm 3.61, 4 Y 3.67
Y: 0.0000 0.0000 0.0000  4 Y 3.61, 8 Pm 3.67
In: 0.0000 0.0000 0.2115  8 Pm 3.34-3.36, 4 In 3.61
In: 0.0000 0.0000 0.4037  8 Pm 3.36, 4 In 3.61
In: 0.0000 0.0000 0.5963  8 Pm 3.36, 4 In 3.61
In: 0.0000 0.0000 0.7885  8 Pm 3.34-3.36, 4 In 3.61

Properties
The density of states at the Fermi level comes out at 1.076 states/eV per atom. The calculation puts the formation energy at -3.79 eV per formula unit.

***

[4]
A plane-wave DFT calculation with PBE-GGA was carried out for a geometry-optimized Sr2CaFe structure.

abc: 7.2852 7.2852 5.9329
angles: 65.92 65.92 31.50
Last column: nearest neighbours and their distance in Å.
Element x y z (fractional)
Sr: 0.0616 0.0616 0.9383  2 Fe 3.10
Sr: 0.4384 0.4384 0.5617  2 Fe 3.10
Ca: 0.2500 0.2500 0.2500  4 Fe 3.57, 4 Sr 3.81, 2 Ca 3.96
Fe: 0.7500 0.7500 0.7500  4 Sr 3.10

Properties
The density of states at the Fermi level comes out at 1.446 states/eV per atom. The calculation puts the formation energy at 1.95 eV per formula unit. For the polymorph energy (0 for the lowest one), the calculation gives 0.099 eV/atom.

***

[5]
A plane-wave DFT calculation with PBE-GGA was carried out for a geometry-optimized SiMo2 structure.

abc: 4.4387 4.4387 5.5593
angles: 90.00 90.00 120.00
Last column: nearest neighbours and their distance in Å.
Element x y z (fractional)
Si: 0.0000 0.0000 0.2500  2 Si 2.78, 12 Mo 2.83-3.01
Si: 0.0000 0.0000 0.7500  2 Si 2.78, 12 Mo 2.83-3.01
Mo: 0.6667 0.3333 0.4670  4 Mo 2.41-2.59
Mo: 0.3333 0.6667 0.9670  4 Mo 2.41-2.59
Mo: 0.3333 0.6667 0.5330  4 Mo 2.41-2.59
Mo: 0.6667 0.3333 0.0330  4 Mo 2.41-2.59

Properties
The density of states at the Fermi level comes out at 0.539 states/eV per atom. For the polymorph energy (0 for the lowest one), the calculation gives 0.676 eV/atom.

***

[6]
A plane-wave DFT calculation with PBE-GGA was carried out for a geometry-optimized MnTePb structure.

abc: 3.9253 3.9253 11.5480
angles: 70.10 70.10 90.09
Last column: nearest neighbours and their distance in Å.
Element x y z (fractional)
Pb: 0.7191 0.7191 0.0610  1 Mn 2.99, 1 Pb 3.34
Pb: 0.0341 0.0341 0.2464  1 Mn 2.99, 1 Pb 3.34
Mn: 0.7396 0.7396 0.5418  5 Te 2.76-2.82, 1 Pb 2.99
Mn: 0.0135 0.0135 0.7655  5 Te 2.76-2.82, 1 Pb 2.99
Te: 0.2889 0.2889 0.4925  5 Mn 2.76-2.82
Te: 0.4643 0.4643 0.8148  5 Mn 2.76-2.82

Properties
The density of states at the Fermi level comes out at 0.521 states/eV per atom. For the polymorph energy (0 for the lowest one), the calculation gives 0.000 eV/atom.

***

[7]
A plane-wave DFT calculation with PBE-GGA was carried out for a geometry-optimized Ir3Ru4Rh12 structure.

abc: 7.9569 7.9569 7.9569
angles: 109.47 109.47 109.47
Last column: nearest neighbours and their distance in Å.
Element x y z (fractional)
Ir: 0.5000 0.0000 0.5000  8 Rh 2.55-2.73
Ir: 0.5000 0.5000 0.0000  8 Rh 2.55-2.73
Ir: 0.0000 0.5000 0.5000  8 Rh 2.55-2.73
Ru: 0.0000 0.0000 0.5000  6 Rh 2.51
Ru: 0.5000 0.5000 0.5000  6 Rh 2.51
Ru: 0.5000 0.0000 0.0000  6 Rh 2.51
Ru: 0.0000 0.5000 0.0000  6 Rh 2.51
Rh: 0.6411 0.3800 0.7390  2 Ru 2.51, 2 Ir 2.55-2.73, 5 Rh 2.59-2.78
Rh: 0.3589 0.6200 0.2610  2 Ru 2.51, 2 Ir 2.55-2.73, 5 Rh 2.59-2.78
Rh: 0.3589 0.0979 0.7390  2 Ru 2.51, 2 Ir 2.55-2.73, 5 Rh 2.59-2.78
Rh: 0.3800 0.7390 0.6411  2 Ru 2.51, 2 Ir 2.55-2.73, 5 Rh 2.59-2.78
Rh: 0.7390 0.3589 0.0979  2 Ru 2.51, 2 Ir 2.55-2.73, 5 Rh 2.59-2.78
Rh: 0.2610 0.3589 0.6200  2 Ru 2.51, 2 Ir 2.55-2.73, 5 Rh 2.59-2.78
Rh: 0.0979 0.7390 0.3589  2 Ru 2.51, 2 Ir 2.55-2.73, 5 Rh 2.59-2.78
Rh: 0.2610 0.6411 0.9021  2 Ru 2.51, 2 Ir 2.55-2.73, 5 Rh 2.59-2.78
Rh: 0.6411 0.9021 0.2610  2 Ru 2.51, 2 Ir 2.55-2.73, 5 Rh 2.59-2.78
Rh: 0.6200 0.2610 0.3589  2 Ru 2.51, 2 Ir 2.55-2.73, 5 Rh 2.59-2.78
Rh: 0.7390 0.6411 0.3800  2 Ru 2.51, 2 Ir 2.55-2.73, 5 Rh 2.59-2.78
Rh: 0.9021 0.2610 0.6411  2 Ru 2.51, 2 Ir 2.55-2.73, 5 Rh 2.59-2.78

Properties
The density of states at the Fermi level comes out at 1.450 states/eV per atom. The calculation puts the formation energy at 15.89 eV per formula unit.

***

[8]
A plane-wave DFT calculation with PBE-GGA was carried out for a geometry-optimized MnSnP3 structure.

abc: 4.9650 4.9650 4.9650
angles: 90.00 90.00 90.00
Last column: nearest neighbours and their distance in Å.
Element x y z (fractional)
P: 0.0000 0.5000 0.0000  2 Sn 2.48
P: 0.0000 0.0000 0.5000  2 Sn 2.48
P: 0.5000 0.0000 0.0000  2 Sn 2.48
Mn: 0.5000 0.5000 0.5000  12 P 3.51
Sn: 0.0000 0.0000 0.0000  6 P 2.48

Properties
The density of states at the Fermi level comes out at 1.194 states/eV per atom. The calculation puts the formation energy at 9.21 eV per formula unit. For the polymorph energy (0 for the lowest one), the calculation gives 1.426 eV/atom.